Material: CsBeIrS3
Method: DFT, PBE
State: relaxed

The structure in extended XYZ format:
```
12
Lattice="1.8595 -7.6360 0.0000 1.8595 7.6360 0.0000 0.0000 0.0000 9.2671" Properties=species:S:1:pos:R:3 pbc="T T T"
Be 1.8595 0.4162 2.3168
Be 1.8595 -0.4162 6.9503
Cs 1.8595 -3.7909 2.3168
Cs 1.8595 3.7909 6.9503
Ir 0.0000 0.0000 0.0000
Ir 0.0000 0.0000 4.6336
S 1.8595 1.4657 0.5263
S 1.8595 6.8139 2.3168
S 1.8595 1.4657 4.1073
S 1.8595 -1.4657 5.1598
S 1.8595 -6.8139 6.9503
S 1.8595 -1.4657 8.7408
```

Values from the calculation:
The final energy is -5.034 eV per atom. The spin magnetization is 0.0 Bohr magnetons per cell. The space-group type is No. 63.


Material: CsLuBe
Method: DFT, PBE
State: relaxed

The structure in extended XYZ format:
```
3
Lattice="0.0000 3.7323 3.7323 3.7323 0.0000 3.7323 3.7323 3.7323 0.0000" Properties=species:S:1:pos:R:3 pbc="T T T"
Be 1.8661 1.8661 1.8661
Cs 5.5984 5.5984 5.5984
Lu 0.0000 0.0000 0.0000
```

Values from the calculation:
The energy above the most stable polymorph in this dataset is 0.0000 eV per atom. The spin magnetization is 0.0 Bohr magnetons per cell. The space-group type is No. 216.


Material: CsLuBe
Method: DFT, PBE
State: relaxed

The structure in extended XYZ format:
```
3
Lattice="0.0000 3.8255 3.8255 3.8255 0.0000 3.8255 3.8255 3.8255 0.0000" Properties=species:S:1:pos:R:3 pbc="T T T"
Be 1.9128 1.9128 1.9128
Cs 0.0000 0.0000 0.0000
Lu 5.7383 5.7383 5.7383
```

Values from the calculation:
The energy above the most stable polymorph in this dataset is 0.3576 eV per atom. The spin magnetization is 0.0 Bohr magnetons per cell. The space-group type is No. 216.


Material: CsLuBeS3
Method: DFT, PBE
State: relaxed

The structure in extended XYZ format:
```
12
Lattice="1.9164 -7.7933 0.0000 1.9164 7.7933 0.0000 0.0000 0.0000 10.2478" Properties=species:S:1:pos:R:3 pbc="T T T"
Be 1.9164 7.2022 2.5620
Be 1.9164 -7.2022 7.6859
Cs 1.9164 -4.0449 2.5620
Cs 1.9164 4.0449 7.6859
Lu 1.9164 0.0000 0.0000
Lu 1.9164 0.0000 5.1239
S 1.9164 6.1136 0.7788
S 1.9164 0.7094 2.5620
S 1.9164 6.1136 4.3451
S 1.9164 -6.1136 5.9027
S 1.9164 -0.7094 7.6859
S 1.9164 -6.1136 9.4690
```

Values from the calculation:
The final energy is -5.166 eV per atom. The spin magnetization is 0.0 Bohr magnetons per cell. The space-group type is No. 63.


Material: CsLuBeSe3
Method: DFT, PBE
State: relaxed

The structure in extended XYZ format:
```
12
Lattice="-4.7473 6.8462 0.5425 4.1640 -6.3970 3.3825 8.7963 6.0508 0.6148" Properties=species:S:1:pos:R:3 pbc="T T T"
Be 1.5771 2.2282 2.0109
Be 6.6359 4.2718 2.5289
Cs 4.0567 -1.4568 2.8011
Cs 4.1563 7.9567 1.7386
Lu 0.0000 0.0000 0.0000
Lu 4.3981 3.0254 0.3074
Se -0.6365 2.1357 1.6925
Se -2.1112 7.7093 0.8355
Se 2.4749 4.2760 1.9100
Se 5.7380 2.2240 2.6298
Se 10.3241 -1.2094 3.7043
Se 8.8494 4.3643 2.8473
```

Values from the calculation:
The final energy is -4.678 eV per atom. The spin magnetization is 0.0 Bohr magnetons per cell. The space-group type is No. 63.


Material: CsBeNb
Method: DFT, PBE
State: relaxed

The structure in extended XYZ format:
```
3
Lattice="0.0826 -1.4546 4.4710 -3.2746 1.5022 3.0221 -3.2920 -2.9696 1.5676" Properties=species:S:1:pos:R:3 pbc="T T T"
Be -1.6210 -0.7305 2.2652
Cs 0.0000 0.0000 0.0000
Nb -4.8630 -2.1916 6.7956
```

Values from the calculation:
The energy above the most stable polymorph in this dataset is 0.5075 eV per atom. The spin magnetization is 0.9 Bohr magnetons per cell. The space-group type is No. 216.


Material: CsBeNb
Method: DFT, PBE
State: relaxed

The structure in extended XYZ format:
```
3
Lattice="-2.4516 0.5514 3.9975 -2.4413 -3.6231 1.7911 1.4582 -2.0957 3.9719" Properties=species:S:1:pos:R:3 pbc="T T T"
Be -0.8587 -1.2918 2.4401
Cs -2.5761 -3.8755 7.3203
Nb 0.0000 0.0000 0.0000
```

Values from the calculation:
The energy above the most stable polymorph in this dataset is 0.0000 eV per atom. The spin magnetization is 1.1 Bohr magnetons per cell. The space-group type is No. 216.


Material: CsBeNbNi
Method: DFT, PBE
State: relaxed

The structure in extended XYZ format:
```
4
Lattice="0.0000 3.3976 3.3976 3.3976 0.0000 3.3976 3.3976 3.3976 0.0000" Properties=species:S:1:pos:R:3 pbc="T T T"
Be 5.0965 5.0965 5.0965
Cs 3.3976 3.3976 3.3976
Nb 0.0000 0.0000 0.0000
Ni 1.6988 1.6988 1.6988
```

Values from the calculation:
The energy above the most stable polymorph in this dataset is 0.1413 eV per atom. The spin magnetization is 1.8 Bohr magnetons per cell. The space-group type is No. 216.


Material: CsBeNbNi
Method: DFT, PBE
State: relaxed

The structure in extended XYZ format:
```
4
Lattice="2.3285 1.3443 3.8024 -2.3285 1.3443 3.8024 0.0000 -2.6887 3.8024" Properties=species:S:1:pos:R:3 pbc="T T T"
Be 0.0000 0.0000 8.5553
Cs 0.0000 0.0000 0.0000
Nb 0.0000 0.0000 2.8518
Ni 0.0000 0.0000 5.7036
```

Values from the calculation:
The energy above the most stable polymorph in this dataset is 0.0000 eV per atom. The spin magnetization is 0.0 Bohr magnetons per cell. The space-group type is No. 216.


Material: CsBeNbNi
Method: DFT, PBE
State: relaxed

The structure in extended XYZ format:
```
4
Lattice="0.0000 3.2584 3.2584 3.2584 0.0000 3.2584 3.2584 3.2584 0.0000" Properties=species:S:1:pos:R:3 pbc="T T T"
Be 4.8876 4.8876 4.8876
Cs 1.6292 1.6292 1.6292
Nb 0.0000 0.0000 0.0000
Ni 3.2584 3.2584 3.2584
```

Values from the calculation:
The energy above the most stable polymorph in this dataset is 0.0716 eV per atom. The spin magnetization is 0.0 Bohr magnetons per cell. The space-group type is No. 216.


Material: CsBeNbPd
Method: DFT, PBE
State: relaxed

The structure in extended XYZ format:
```
4
Lattice="0.2403 -2.9129 3.7463 -3.8795 -2.3276 1.4524 -0.3223 -4.6999 -0.6204" Properties=species:S:1:pos:R:3 pbc="T T T"
Be -2.9711 -7.4553 3.4337
Cs -1.9807 -4.9702 2.2891
Nb -0.9904 -2.4851 1.1446
Pd 0.0000 0.0000 0.0000
```

Values from the calculation:
The energy above the most stable polymorph in this dataset is 0.0000 eV per atom. The spin magnetization is 0.0 Bohr magnetons per cell. The space-group type is No. 216.


Material: CsBeNbPd
Method: DFT, PBE
State: relaxed

The structure in extended XYZ format:
```
4
Lattice="0.0000 3.3653 3.3653 3.3653 0.0000 3.3653 3.3653 3.3653 0.0000" Properties=species:S:1:pos:R:3 pbc="T T T"
Be 5.0480 5.0480 5.0480
Cs 1.6827 1.6827 1.6827
Nb 3.3653 3.3653 3.3653
Pd 0.0000 0.0000 0.0000
```

Values from the calculation:
The energy above the most stable polymorph in this dataset is 0.1145 eV per atom. The spin magnetization is 0.1 Bohr magnetons per cell. The space-group type is No. 216.


Among the records above, which one has the highest spin magnetization?
number 8


The highest spin magnetization belongs to which entry?
number 8


Which value of spin magnetization does entry 11 give?
0.0 Bohr magnetons per cell